[1]
Entry from Alexandria via LeMat-Bulk: Ac3CoSe after structural relaxation (PBE).

POSCAR file:
```
Ac3CoSe
1.0
4.1603 0.0000 0.0000
0.0000 9.0360 -2.6388
0.0000 0.3294 8.4179
Co Ac Se
2 6 2
Cartesian
3.1202 5.0377 -1.1093 Co
1.0401 4.3277 6.8884 Co
3.1202 3.8933 4.5531 Ac
1.0401 5.4721 1.2260 Ac
3.1202 8.6681 0.0474 Ac
1.0401 7.0009 5.7229 Ac
1.0401 0.6973 5.7317 Ac
3.1202 2.3646 0.0562 Ac
3.1202 7.1817 3.0802 Se
1.0401 2.1837 2.6990 Se
```

E_form (uncorrected) = -3.22 eV per formula unit
Raw total energy = -5.228 eV/atom
Symmetry = P2_1/m (11)
Total magnetic moment = 0.5 μB per formula unit


[2]
Entry from Alexandria via LeMat-Bulk: AcCoSe3 after structural relaxation (PBE).

POSCAR file:
```
AcCoSe3
1.0
4.8285 0.0000 0.0000
0.0000 4.8285 0.0000
0.0000 0.0000 4.8285
Co Se Ac
1 3 1
Cartesian
0.0000 0.0000 0.0000 Co
2.4142 0.0000 0.0000 Se
0.0000 0.0000 2.4142 Se
0.0000 2.4142 0.0000 Se
2.4142 2.4142 2.4142 Ac
```

E_form (uncorrected) = -4.55 eV per formula unit
Raw total energy = -5.243 eV/atom
Symmetry = Pm-3m (221)
Total magnetic moment = 0.8 μB per formula unit


[3]
Entry from Alexandria via LeMat-Bulk: AcUCoSe4 after structural relaxation (PBE).

POSCAR file:
```
AcUCoSe4
1.0
6.8616 0.0000 0.1365
0.0000 6.0519 0.0000
-2.5171 0.0000 8.0534
Se U Ac Co
8 2 2 2
Cartesian
1.3808 4.5389 4.9097 Se
2.5927 4.5389 1.1238 Se
6.0669 0.0474 2.2684 Se
-1.7224 6.0045 5.9215 Se
6.0669 2.9786 2.2684 Se
2.9636 1.5130 3.2802 Se
1.7517 1.5130 7.0661 Se
-1.7224 3.0733 5.9215 Se
3.9639 4.5389 3.6784 U
0.3805 1.5130 4.5115 U
1.6008 1.5130 0.5501 Ac
2.7436 4.5389 7.6398 Ac
0.8062 4.5389 2.7015 Co
3.5383 1.5130 5.4884 Co
```

E_form (uncorrected) = -8.03 eV per formula unit
Raw total energy = -6.353 eV/atom
Symmetry = P2_1/m (11)
Total magnetic moment = 1.2 μB per formula unit


[4]
Entry from Alexandria via LeMat-Bulk: AcCo2Si after structural relaxation (PBE).

POSCAR file:
```
AcCo2Si
1.0
-1.1003 3.8245 -0.3316
-0.9707 0.0565 3.8732
8.8184 2.7251 2.1703
Ac Si Co
2 2 4
Cartesian
6.6165 2.2229 3.6844 Ac
1.1665 2.4427 0.2567 Ac
2.8720 1.0658 2.7629 Si
4.9109 3.5999 1.1782 Si
0.7924 0.4231 2.2511 Co
4.4092 1.3626 1.0851 Co
6.9905 4.2425 1.6900 Co
3.3737 3.3031 2.8560 Co
```

E_form (uncorrected) = -0.91 eV per formula unit
Raw total energy = -6.163 eV/atom
Symmetry = P4/nmm (129)
Total magnetic moment = 0.0 μB per formula unit


[5]
Entry from Alexandria via LeMat-Bulk: Ac3CoSi after structural relaxation (PBE).

POSCAR file:
```
Ac3CoSi
1.0
5.4396 0.0000 0.0000
0.0000 5.4396 0.0000
0.0000 0.0000 5.4396
Ac Si Co
3 1 1
Cartesian
0.0000 0.0000 2.7198 Ac
0.0000 2.7198 0.0000 Ac
2.7198 0.0000 0.0000 Ac
2.7198 2.7198 2.7198 Si
0.0000 0.0000 0.0000 Co
```

E_form (uncorrected) = -0.26 eV per formula unit
Raw total energy = -5.024 eV/atom
Symmetry = Pm-3m (221)
Total magnetic moment = 0.0 μB per formula unit


[6]
Entry from Alexandria via LeMat-Bulk: AcCo2Si2 after structural relaxation (PBE).

POSCAR file:
```
AcCo2Si2
1.0
4.2208 0.0765 -0.0910
-0.8215 4.1408 -0.0910
-1.2729 -1.5792 5.2172
Co Ac Si
2 1 2
Cartesian
2.5213 0.1438 2.5176 Co
-0.3949 2.4943 2.5176 Co
0.0000 0.0000 0.0000 Ac
0.4180 0.5185 3.3092 Si
1.7084 2.1195 1.7260 Si
```

E_form (uncorrected) = -3.03 eV per formula unit
Raw total energy = -6.439 eV/atom
Symmetry = C2/m (12)
Total magnetic moment = 0.0 μB per formula unit


[7]
Entry from Alexandria via LeMat-Bulk: AcCo9Si4 after structural relaxation (PBE).

POSCAR file:
```
AcCo9Si4
1.0
-3.2530 1.1111 -7.0193
6.2444 -3.2388 -3.4065
-4.0062 -4.1346 5.5534
Co Si Ac
18 8 2
Cartesian
-2.9100 -1.0406 -2.0573 Co
1.8952 -5.2217 -2.8151 Co
0.0152 -0.3360 -5.0177 Co
-2.0235 -3.3302 -2.8305 Co
-2.1648 0.6624 -5.8469 Co
-1.6265 0.5556 -3.5096 Co
1.0274 -0.5730 -1.1730 Co
-4.4466 -2.2204 -3.7523 Co
1.2773 -1.0663 -6.8597 Co
2.9762 -1.7916 -5.4081 Co
3.4318 -4.0419 -1.1200 Co
3.1222 -1.6194 -1.7033 Co
1.7141 -1.0614 -3.5661 Co
1.9640 -1.5546 -9.2528 Co
5.1562 -2.7901 -4.5789 Co
1.1320 -4.6788 -0.1550 Co
-2.1468 -1.5835 -4.7173 Co
1.0087 -2.9321 -2.0418 Co
-0.3889 -4.8410 -2.0532 Si
3.0259 -3.2216 -3.3794 Si
-4.0408 -3.0406 -1.4929 Si
-3.4310 -3.0688 2.5714 Si
-1.2356 -1.3931 -6.8834 Si
-0.6259 -1.4213 -2.8191 Si
0.2208 -4.8692 2.0111 Si
2.4162 -3.1934 -7.4438 Si
-1.2553 -2.5992 0.1703 Ac
0.2404 -3.6631 -5.0426 Ac
```

E_form (uncorrected) = -6.16 eV per formula unit
Raw total energy = -6.851 eV/atom
Symmetry = I4/mcm (140)
Total magnetic moment = 4.9 μB per formula unit


[8]
Entry from Alexandria via LeMat-Bulk: Ac2Co5Si4 after structural relaxation (PBE).

POSCAR file:
```
Ac2Co5Si4
1.0
4.9591 0.0000 2.3672
2.4795 4.9399 1.1836
-0.3801 0.0000 7.1742
Co Si Ac
5 4 2
Cartesian
2.4795 0.0000 1.1836 Co
2.2895 2.4700 4.7707 Co
3.7193 2.4700 1.7754 Co
4.7691 2.4700 5.9543 Co
1.2398 2.4700 0.5918 Co
4.2368 3.3057 3.8804 Si
5.3014 3.3057 8.0282 Si
1.7572 1.6342 2.6968 Si
2.8218 1.6342 6.8446 Si
0.4011 0.0000 5.5379 Ac
4.1780 0.0000 4.0036 Ac
```

E_form (uncorrected) = -5.95 eV per formula unit
Raw total energy = -6.490 eV/atom
Symmetry = Fmmm (69)
Total magnetic moment = 0.0 μB per formula unit